Record 1
Na12P3Br5 | PBE-GGA | optimized geometry

a = 14.637 Å, b = 14.637 Å, c = 14.637 Å
α = 109.47°, β = 109.47°, γ = 109.47°
Atoms (fractional coordinates):
Na1 0.063 0.233 0.140
Na2 0.063 0.331 0.924
Na3 0.076 0.640 0.407
Na4 0.076 0.937 0.669
Na5 0.093 0.733 0.669
Na6 0.093 0.860 0.424
Na7 0.140 0.063 0.233
Na8 0.140 0.576 0.907
Na9 0.169 0.233 0.593
Na10 0.169 0.437 0.576
Na11 0.233 0.140 0.063
Na12 0.233 0.593 0.169
Na13 0.267 0.331 0.907
Na14 0.267 0.437 0.360
Na15 0.331 0.907 0.267
Na16 0.331 0.924 0.063
Na17 0.360 0.267 0.437
Na18 0.360 0.593 0.924
Na19 0.407 0.076 0.640
Na20 0.407 0.831 0.767
Na21 0.424 0.093 0.860
Na22 0.424 0.831 0.563
Na23 0.437 0.360 0.267
Na24 0.437 0.576 0.169
Na25 0.563 0.424 0.831
Na26 0.563 0.640 0.733
Na27 0.576 0.169 0.437
Na28 0.576 0.907 0.140
Na29 0.593 0.169 0.233
Na30 0.593 0.924 0.360
Na31 0.640 0.407 0.076
Na32 0.640 0.733 0.563
Na33 0.669 0.076 0.937
Na34 0.669 0.093 0.733
Na35 0.733 0.563 0.640
Na36 0.733 0.669 0.093
Na37 0.767 0.407 0.831
Na38 0.767 0.860 0.937
Na39 0.831 0.563 0.424
Na40 0.831 0.767 0.407
Na41 0.860 0.424 0.093
Na42 0.860 0.937 0.767
Na43 0.907 0.140 0.576
Na44 0.907 0.267 0.331
Na45 0.924 0.063 0.331
Na46 0.924 0.360 0.593
Na47 0.937 0.669 0.076
Na48 0.937 0.767 0.860
P1 0.125 0.250 0.375
P2 0.125 0.375 0.750
P3 0.250 0.375 0.125
P4 0.250 0.875 0.625
P5 0.375 0.125 0.250
P6 0.375 0.750 0.125
P7 0.625 0.250 0.875
P8 0.625 0.875 0.750
P9 0.750 0.125 0.375
P10 0.750 0.625 0.875
P11 0.875 0.625 0.250
P12 0.875 0.750 0.625
Br1 0.000 0.000 0.000
Br2 0.000 0.000 0.500
Br3 0.000 0.500 0.000
Br4 0.000 0.500 0.500
Br5 0.125 0.750 0.875
Br6 0.125 0.875 0.250
Br7 0.250 0.125 0.875
Br8 0.250 0.625 0.375
Br9 0.375 0.250 0.625
Br10 0.375 0.625 0.750
Br11 0.500 0.000 0.000
Br12 0.500 0.000 0.500
Br13 0.500 0.500 0.000
Br14 0.500 0.500 0.500
Br15 0.625 0.375 0.250
Br16 0.625 0.750 0.375
Br17 0.750 0.375 0.625
Br18 0.750 0.875 0.125
Br19 0.875 0.125 0.750
Br20 0.875 0.250 0.125

Results
The value obtained for the calculated density is 2.11 g/cm3. The calculation puts the energy relative to the elements, uncorrected at -15.776 eV per formula unit.

=====

Record 2
NaPBr2 | PBE-GGA | optimized geometry

a = 9.041 Å, b = 9.041 Å, c = 9.041 Å
α = 144.13°, β = 144.13°, γ = 51.64°
Atoms (fractional coordinates):
Na1 0.000 0.000 0.000
Na2 0.750 0.250 0.500
P1 0.250 0.750 0.500
P2 0.500 0.500 0.000
Br1 0.181 0.625 0.056
Br2 0.375 0.431 0.556
Br3 0.569 0.125 0.944
Br4 0.875 0.819 0.444

Results
The value obtained for the calculated density is 2.81 g/cm3. The calculation puts the energy above the most stable polymorph in this dataset at 0.0948 eV per atom. The calculation puts the energy relative to the elements, uncorrected at -0.846 eV per formula unit.

=====

Record 3
Na2PBr6 | PBE-GGA | optimized geometry

a = 6.714 Å, b = 6.714 Å, c = 12.500 Å
α = 90.00°, β = 90.00°, γ = 90.00°
Atoms (fractional coordinates):
Na1 0.000 0.000 0.166
Na2 0.000 0.000 0.834
Na3 0.500 0.500 0.334
Na4 0.500 0.500 0.666
P1 0.000 0.000 0.500
P2 0.500 0.500 0.000
Br1 0.182 0.182 0.357
Br2 0.182 0.182 0.643
Br3 0.237 0.237 0.000
Br4 0.263 0.737 0.500
Br5 0.318 0.682 0.143
Br6 0.318 0.682 0.857
Br7 0.682 0.318 0.143
Br8 0.682 0.318 0.857
Br9 0.737 0.263 0.500
Br10 0.763 0.763 0.000
Br11 0.818 0.818 0.357
Br12 0.818 0.818 0.643

Results
The value obtained for the calculated density is 3.28 g/cm3. The calculation puts the energy relative to the elements, uncorrected at -6.279 eV per formula unit.

=====

Record 4
NaPBr2 | PBE-GGA | optimized geometry

a = 5.230 Å, b = 5.230 Å, c = 5.230 Å
α = 60.00°, β = 60.00°, γ = 60.00°
Atoms (fractional coordinates):
Na1 0.000 0.000 0.000
P1 0.500 0.500 0.500
Br1 0.250 0.250 0.250
Br2 0.750 0.750 0.750

Results
The value obtained for the calculated density is 3.51 g/cm3. The calculation puts the energy above the most stable polymorph in this dataset at 0.3350 eV per atom. The calculation puts the energy relative to the elements, uncorrected at 0.115 eV per formula unit.

=====

Record 5
NaP2Br | PBE-GGA | optimized geometry

a = 4.902 Å, b = 4.902 Å, c = 4.902 Å
α = 60.00°, β = 60.00°, γ = 60.00°
Atoms (fractional coordinates):
Na1 0.000 0.000 0.000
P1 0.250 0.250 0.250
P2 0.750 0.750 0.750
Br1 0.500 0.500 0.500

Results
The value obtained for the calculated density is 3.29 g/cm3. The calculation puts the energy above the most stable polymorph in this dataset at 1.0986 eV per atom. The calculation puts the energy relative to the elements, uncorrected at 3.224 eV per formula unit.

=====

Record 6
NaPPtBr2 | PBE-GGA | optimized geometry

a = 5.128 Å, b = 5.128 Å, c = 5.361 Å
α = 90.00°, β = 90.00°, γ = 90.00°
Atoms (fractional coordinates):
Na1 0.000 0.000 0.000
P1 0.000 0.000 0.500
Pt1 0.500 0.500 0.500
Br1 0.000 0.500 0.000
Br2 0.500 0.000 0.000

Results
The value obtained for the calculated density is 4.82 g/cm3. The calculation puts the energy relative to the elements, uncorrected at 5.143 eV per formula unit.

=====

Record 7
NaP2SBr | PBE-GGA | optimized geometry

a = 5.161 Å, b = 5.161 Å, c = 4.750 Å
α = 90.00°, β = 90.00°, γ = 90.00°
Atoms (fractional coordinates):
Na1 0.000 0.000 0.000
P1 0.000 0.500 0.000
P2 0.500 0.000 0.000
S1 0.000 0.000 0.500
Br1 0.500 0.500 0.500

Results
The value obtained for the calculated density is 2.58 g/cm3. The calculation puts the energy above the most stable polymorph in this dataset at 0.4201 eV per atom. The calculation puts the energy relative to the elements, uncorrected at 6.838 eV per formula unit.

=====

Record 8
NaPS2Br | PBE-GGA | optimized geometry

a = 5.021 Å, b = 5.021 Å, c = 5.869 Å
α = 90.00°, β = 90.00°, γ = 90.00°
Atoms (fractional coordinates):
Na1 0.000 0.000 0.000
P1 0.000 0.000 0.500
S1 0.000 0.500 0.000
S2 0.500 0.000 0.000
Br1 0.500 0.500 0.500

Results
The value obtained for the calculated density is 2.22 g/cm3. The calculation puts the energy above the most stable polymorph in this dataset at 0.4437 eV per atom. The calculation puts the energy relative to the elements, uncorrected at 5.953 eV per formula unit.

=====

Record 9
NaPS2Br | PBE-GGA | optimized geometry

a = 5.039 Å, b = 5.039 Å, c = 4.992 Å
α = 90.00°, β = 90.00°, γ = 90.00°
Atoms (fractional coordinates):
Na1 0.000 0.000 0.000
P1 0.500 0.500 0.000
S1 0.000 0.500 0.500
S2 0.500 0.000 0.500
Br1 0.500 0.500 0.500

Results
The value obtained for the calculated density is 2.59 g/cm3. The calculation puts the energy above the most stable polymorph in this dataset at 0.0000 eV per atom. The calculation puts the energy relative to the elements, uncorrected at 3.735 eV per formula unit.

=====

Record 10
NaP2SBr | PBE-GGA | optimized geometry

a = 4.963 Å, b = 4.963 Å, c = 5.156 Å
α = 90.00°, β = 90.00°, γ = 90.00°
Atoms (fractional coordinates):
Na1 0.000 0.000 0.000
P1 0.000 0.500 0.500
P2 0.500 0.000 0.500
S1 0.500 0.500 0.000
Br1 0.500 0.500 0.500

Results
The value obtained for the calculated density is 2.57 g/cm3. The calculation puts the energy above the most stable polymorph in this dataset at 0.0000 eV per atom. The calculation puts the energy relative to the elements, uncorrected at 4.737 eV per formula unit.

=====

Record 11
NaPSeBr2 | PBE-GGA | optimized geometry

a = 5.405 Å, b = 5.405 Å, c = 4.737 Å
α = 90.00°, β = 90.00°, γ = 90.00°
Atoms (fractional coordinates):
Na1 0.000 0.000 0.000
P1 0.500 0.500 0.500
Se1 0.500 0.500 0.000
Br1 0.000 0.500 0.500
Br2 0.500 0.000 0.500

Results
The value obtained for the calculated density is 3.51 g/cm3. The calculation puts the energy above the most stable polymorph in this dataset at 0.0000 eV per atom. The calculation puts the energy relative to the elements, uncorrected at -1.762 eV per formula unit.

=====

Record 12
NaPSe2Br | PBE-GGA | optimized geometry

a = 4.823 Å, b = 4.823 Å, c = 5.587 Å
α = 90.00°, β = 90.00°, γ = 90.00°
Atoms (fractional coordinates):
Na1 0.000 0.000 0.000
P1 0.500 0.500 0.500
Se1 0.000 0.500 0.500
Se2 0.500 0.000 0.500
Br1 0.500 0.500 0.000

Results
The value obtained for the calculated density is 3.73 g/cm3. The calculation puts the energy above the most stable polymorph in this dataset at 0.0000 eV per atom. The calculation puts the energy relative to the elements, uncorrected at -0.901 eV per formula unit.

=====

Record 13
NaPSeBr2 | PBE-GGA | optimized geometry

a = 5.140 Å, b = 5.140 Å, c = 5.431 Å
α = 90.00°, β = 90.00°, γ = 90.00°
Atoms (fractional coordinates):
Na1 0.000 0.000 0.000
P1 0.500 0.500 0.500
Se1 0.000 0.000 0.500
Br1 0.000 0.500 0.000
Br2 0.500 0.000 0.000

Results
The value obtained for the calculated density is 3.39 g/cm3. The calculation puts the energy above the most stable polymorph in this dataset at 1.0196 eV per atom. The calculation puts the energy relative to the elements, uncorrected at 3.336 eV per formula unit.

=====

Record 14
NaPSe2Br | PBE-GGA | optimized geometry

a = 5.186 Å, b = 5.186 Å, c = 5.047 Å
α = 90.00°, β = 90.00°, γ = 90.00°
Atoms (fractional coordinates):
Na1 0.000 0.000 0.000
P1 0.500 0.500 0.500
Se1 0.000 0.500 0.000
Se2 0.500 0.000 0.000
Br1 0.000 0.000 0.500

Results
The value obtained for the calculated density is 3.57 g/cm3. The calculation puts the energy above the most stable polymorph in this dataset at 1.0990 eV per atom. The calculation puts the energy relative to the elements, uncorrected at 4.594 eV per formula unit.

=====

Record 15
NaSnP2Br | PBE-GGA | optimized geometry

a = 4.977 Å, b = 4.977 Å, c = 5.402 Å
α = 90.00°, β = 90.00°, γ = 90.00°
Atoms (fractional coordinates):
Na1 0.000 0.000 0.000
Sn1 0.500 0.500 0.500
P1 0.000 0.500 0.000
P2 0.500 0.000 0.000
Br1 0.000 0.000 0.500

Results
The value obtained for the calculated density is 3.52 g/cm3. The calculation puts the energy relative to the elements, uncorrected at 4.002 eV per formula unit.

=====

Record 16
Na2TePBr | PBE-GGA | optimized geometry

a = 5.826 Å, b = 5.826 Å, c = 4.740 Å
α = 90.00°, β = 90.00°, γ = 90.00°
Atoms (fractional coordinates):
Na1 0.000 0.500 0.000
Na2 0.500 0.000 0.000
Te1 0.000 0.000 0.500
P1 0.500 0.500 0.000
Br1 0.500 0.500 0.500

Results
The value obtained for the calculated density is 2.94 g/cm3. The calculation puts the energy relative to the elements, uncorrected at -0.163 eV per formula unit.

=====

Record 17
NaZrPBr2 | PBE-GGA | optimized geometry

a = 5.171 Å, b = 5.171 Å, c = 7.366 Å
α = 90.00°, β = 90.00°, γ = 90.00°
Atoms (fractional coordinates):
Na1 0.000 0.000 0.000
Zr1 0.000 0.000 0.500
P1 0.500 0.500 0.000
Br1 0.000 0.500 0.500
Br2 0.500 0.000 0.500

Results
The value obtained for the calculated density is 2.57 g/cm3. The calculation puts the energy relative to the elements, uncorrected at 1.081 eV per formula unit.

=====

Record 18
Na2PaBr7 | PBE-GGA | optimized geometry

a = 10.983 Å, b = 10.983 Å, c = 13.551 Å
α = 127.90°, β = 127.90°, γ = 47.10°
Atoms (fractional coordinates):
Na1 0.216 0.733 0.930
Na2 0.267 0.784 0.570
Na3 0.733 0.216 0.430
Na4 0.784 0.267 0.070
Pa1 0.181 0.819 0.250
Pa2 0.819 0.181 0.750
Br1 0.023 0.671 0.992
Br2 0.026 0.179 0.687
Br3 0.150 0.850 0.750
Br4 0.179 0.026 0.187
Br5 0.329 0.977 0.508
Br6 0.398 0.518 0.326
Br7 0.482 0.602 0.174
Br8 0.518 0.398 0.826
Br9 0.602 0.482 0.674
Br10 0.671 0.023 0.492
Br11 0.821 0.974 0.813
Br12 0.850 0.150 0.250
Br13 0.974 0.821 0.313
Br14 0.977 0.329 0.008

Results
The value obtained for the calculated density is 3.12 g/cm3. The calculation puts the energy relative to the elements, uncorrected at -14.228 eV per formula unit.

=====

Record 19
Na2PaBr5 | PBE-GGA | optimized geometry

a = 8.127 Å, b = 8.127 Å, c = 7.919 Å
α = 114.56°, β = 114.56°, γ = 60.15°
Atoms (fractional coordinates):
Na1 0.000 0.000 0.000
Na2 0.580 0.580 0.537
Pa1 0.600 0.600 0.018
Br1 0.247 0.723 0.726
Br2 0.370 0.853 0.295
Br3 0.723 0.247 0.726
Br4 0.777 0.777 0.948
Br5 0.853 0.370 0.295

Results
The value obtained for the calculated density is 2.82 g/cm3. The calculation puts the energy relative to the elements, uncorrected at -10.571 eV per formula unit.

=====

Record 20
Na2PaBr4 | PBE-GGA | optimized geometry

a = 8.650 Å, b = 8.650 Å, c = 8.650 Å
α = 140.51°, β = 140.51°, γ = 57.08°
Atoms (fractional coordinates):
Na1 0.124 0.124 0.000
Na2 0.876 0.876 0.000
Pa1 0.500 0.500 0.000
Br1 0.000 0.500 0.500
Br2 0.311 0.311 0.000
Br3 0.500 0.000 0.500
Br4 0.689 0.689 0.000

Results
The value obtained for the calculated density is 3.82 g/cm3. The calculation puts the energy relative to the elements, uncorrected at -7.070 eV per formula unit.

=====

Record 21
NaPaBr5 | PBE-GGA | optimized geometry

a = 7.663 Å, b = 7.663 Å, c = 11.144 Å
α = 111.30°, β = 111.30°, γ = 71.65°
Atoms (fractional coordinates):
Na1 0.006 0.994 0.750
Na2 0.994 0.006 0.250
Pa1 0.500 0.500 0.000
Pa2 0.500 0.500 0.500
Br1 0.147 0.731 0.027
Br2 0.184 0.336 0.361
Br3 0.269 0.853 0.473
Br4 0.336 0.184 0.861
Br5 0.399 0.601 0.750
Br6 0.601 0.399 0.250
Br7 0.664 0.816 0.139
Br8 0.731 0.147 0.527
Br9 0.816 0.664 0.639
Br10 0.853 0.269 0.973

Results
The value obtained for the calculated density is 3.91 g/cm3. The calculation puts the energy above the most stable polymorph in this dataset at 0.0135 eV per atom. The calculation puts the energy relative to the elements, uncorrected at -10.127 eV per formula unit.